Below is a relaxed SrAc6Er crystal, with properties calculated at the PBE level.

abc: 5.5817 5.5817 11.2166
angles: 90.00 90.00 90.00
Space group P4/mmm (No. 123)
Unique sites:
1 Sr 0.0000 0.0000 0.0000
2 Ac 0.0000 0.5000 0.2613
3 Ac 0.5000 0.5000 0.0000
4 Ac 0.5000 0.5000 0.5000
5 Er 0.0000 0.0000 0.5000

DFT formation energy, eV/atom: 0.052


Below is a relaxed La2CdW crystal, with properties calculated at the PBE level.

abc: 8.4399 3.1517 8.5906
angles: 90.00 95.40 90.00
Space group C2/m (No. 12)
Unique sites:
1 La 0.2493 0.0000 0.2115
2 Cd 0.0000 0.0000 0.5000
3 W 0.0000 0.5000 0.0000

DFT formation energy, eV/atom: 0.518


no.,spin magnetization (μB/f.u.),D(E_F) (states/eV per cell)
1,0.00,13.17
2,0.00,8.90